Entry 1:
Density functional theory data (PBE) for Ni5Ir2Rh2 after structural relaxation.

Lattice parameters (Å, degrees): 6.6877 6.6877 8.3642 116.82 116.82 22.63
With the nearest neighbours (Å) after each atom.
Element x y z (fractional)
Ni  0.0000  0.0000  0.0000  2 Ir 2.49, 6 Ni 2.56-2.62, 4 Rh 2.69
Ni  0.1077  0.1077  0.5898  1 Ir 2.44, 4 Ni 2.49-2.62, 2 Rh 2.50
Ni  0.3163  0.3163  0.8061  1 Rh 2.46, 5 Ni 2.49-2.62, 3 Ir 2.59-2.62
Ni  0.6837  0.6837  0.1939  1 Rh 2.46, 5 Ni 2.49-2.62, 3 Ir 2.59-2.62
Ni  0.8923  0.8923  0.4102  1 Ir 2.44, 4 Ni 2.49-2.62, 2 Rh 2.50
Ir  0.1558  0.1558  0.9090  5 Ni 2.44-2.62, 4 Ir 2.59-2.62, 2 Rh 2.70
Ir  0.8442  0.8442  0.0910  5 Ni 2.44-2.62, 4 Ir 2.59-2.62, 2 Rh 2.70
Rh  0.4603  0.4603  0.6957  5 Ni 2.46-2.69, 2 Rh 2.62, 2 Ir 2.70
Rh  0.5397  0.5397  0.3043  5 Ni 2.46-2.69, 2 Rh 2.62, 2 Ir 2.70

Formation enthalpy at 0 K ... 0.33 eV per atom
Crystal system ... monoclinic
Symmetry ... No. 12


Entry 2:
Density functional theory data (PBE) for Ni2IrRh after structural relaxation.

Lattice parameters (Å, degrees): 4.4628 4.4628 2.6669 90.00 90.00 106.99
With the nearest neighbours (Å) after each atom.
Element x y z (fractional)
Ni  0.0000  0.5000  0.0000  4 Rh 2.60, 4 Ir 2.60, 4 Ni 2.65-2.67
Ni  0.5000  0.0000  0.0000  4 Rh 2.60, 4 Ir 2.60, 4 Ni 2.65-2.67
Ir  0.0000  0.0000  0.5000  8 Ni 2.60, 2 Rh 2.65, 2 Ir 2.67
Rh  0.5000  0.5000  0.5000  8 Ni 2.60, 2 Ir 2.65, 2 Rh 2.67

Formation enthalpy at 0 K ... 0.04 eV per atom
Crystal system ... orthorhombic
Symmetry ... No. 65


Entry 3:
Density functional theory data (PBE) for NiIr8Rh2 after structural relaxation.

Lattice parameters (Å, degrees): 7.1949 7.1949 6.0878 104.73 104.73 30.94
With the nearest neighbours (Å) after each atom.
Element x y z (fractional)
Ni  0.0000  0.0000  0.0000  12 Ir 2.70-2.74
Ir  0.0901  0.0901  0.4576  8 Ir 2.68-2.74, 3 Rh 2.72-2.74, 1 Ni 2.74
Ir  0.1806  0.1806  0.9059  8 Ir 2.69-2.75, 3 Rh 2.71, 1 Ni 2.71
Ir  0.3651  0.3651  0.8206  7 Ir 2.69-2.74, 2 Ni 2.70, 3 Rh 2.71-2.77
Ir  0.4555  0.4555  0.2703  9 Ir 2.69-2.74, 2 Ni 2.70, 1 Rh 2.76
Ir  0.5445  0.5445  0.7297  9 Ir 2.69-2.74, 2 Ni 2.70, 1 Rh 2.76
Ir  0.6349  0.6349  0.1794  7 Ir 2.69-2.74, 2 Ni 2.70, 3 Rh 2.71-2.77
Ir  0.8194  0.8194  0.0941  8 Ir 2.69-2.75, 3 Rh 2.71, 1 Ni 2.71
Ir  0.9099  0.9099  0.5424  8 Ir 2.68-2.74, 3 Rh 2.72-2.74, 1 Ni 2.74
Rh  0.2707  0.2707  0.3596  10 Ir 2.71-2.77, 2 Rh 2.73
Rh  0.7293  0.7293  0.6404  10 Ir 2.71-2.77, 2 Rh 2.73

Formation enthalpy at 0 K ... 0.01 eV per atom
Crystal system ... monoclinic
Symmetry ... No. 12


Entry 4:
Density functional theory data (PBE) for Ni4Ir2Rh3 after structural relaxation.

Lattice parameters (Å, degrees): 7.0038 7.0038 6.3803 90.27 90.27 22.05
With the nearest neighbours (Å) after each atom.
Element x y z (fractional)
Ni  0.0567  0.0567  0.3336  6 Rh 2.57-2.67, 1 Ir 2.62, 5 Ni 2.64-2.68
Ni  0.2781  0.2781  0.6645  3 Rh 2.56-2.66, 6 Ni 2.60-2.68, 3 Ir 2.62-2.64
Ni  0.7219  0.7219  0.3355  3 Rh 2.56-2.66, 6 Ni 2.60-2.68, 3 Ir 2.62-2.64
Ni  0.9433  0.9433  0.6664  6 Rh 2.57-2.67, 1 Ir 2.62, 5 Ni 2.64-2.68
Ir  0.1676  0.1676  0.0017  4 Ni 2.62-2.64, 4 Ir 2.63-2.68, 4 Rh 2.67-2.68
Ir  0.8324  0.8324  0.9983  4 Ni 2.62-2.64, 4 Ir 2.63-2.68, 4 Rh 2.67-2.68
Rh  0.3886  0.3886  0.3422  7 Ni 2.56-2.67, 3 Rh 2.67-2.68, 2 Ir 2.68
Rh  0.5000  0.5000  0.0000  4 Ni 2.63, 4 Ir 2.67, 4 Rh 2.67-2.68
Rh  0.6114  0.6114  0.6578  7 Ni 2.56-2.67, 3 Rh 2.67-2.68, 2 Ir 2.68

Formation enthalpy at 0 K ... 0.05 eV per atom
Crystal system ... monoclinic
Symmetry ... No. 12


Entry 5:
Density functional theory data (PBE) for Ni2Ir4Rh after structural relaxation.

Lattice parameters (Å, degrees): 9.9034 9.9034 3.8036 90.00 90.00 164.34
With the nearest neighbours (Å) after each atom.
Element x y z (fractional)
Ni  0.1998  0.8002  0.0000  2 Ni 2.39, 5 Ir 2.52-2.62
Ni  0.8002  0.1998  0.0000  2 Ni 2.39, 5 Ir 2.52-2.62
Ir  0.0712  0.9288  0.0000  1 Ni 2.52, 7 Ir 2.69-2.80, 4 Rh 2.72
Ir  0.3609  0.6391  0.5000  4 Ni 2.62, 6 Ir 2.69-2.70, 1 Rh 2.73
Ir  0.6391  0.3609  0.5000  4 Ni 2.62, 6 Ir 2.69-2.70, 1 Rh 2.73
Ir  0.9288  0.0712  0.0000  1 Ni 2.52, 7 Ir 2.69-2.80, 4 Rh 2.72
Rh  0.5000  0.5000  0.5000  2 Rh 2.70, 10 Ir 2.72-2.73

Formation enthalpy at 0 K ... 0.20 eV per atom
Crystal system ... orthorhombic
Symmetry ... No. 65


Entry 6:
Density functional theory data (PBE) for NiIrRh2 after structural relaxation.

Lattice parameters (Å, degrees): 2.7044 3.7722 5.3176 90.00 90.00 90.00
With the nearest neighbours (Å) after each atom.
Element x y z (fractional)
Ni  0.0000  0.0000  0.0000  2 Ir 2.66, 8 Rh 2.66, 2 Ni 2.70
Ir  0.0000  0.0000  0.5000  2 Ni 2.66, 8 Rh 2.69, 2 Ir 2.70
Rh  0.5000  0.5000  0.2455  4 Rh 2.61-2.71, 4 Ni 2.66, 4 Ir 2.69
Rh  0.5000  0.5000  0.7545  4 Rh 2.61-2.71, 4 Ni 2.66, 4 Ir 2.69

Formation enthalpy at 0 K ... 0.00 eV per atom
Crystal system ... orthorhombic
Symmetry ... No. 47


Entry 7:
Density functional theory data (PBE) for Ni4IrRh7 after structural relaxation.

Lattice parameters (Å, degrees): 4.6345 5.3106 6.9887 100.75 108.74 90.02
With the nearest neighbours (Å) after each atom.
Element x y z (fractional)
Ni  0.1664  0.4161  0.1635  9 Rh 2.58-2.69, 3 Ni 2.62-2.68
Ni  0.3298  0.8322  0.8316  8 Rh 2.62-2.68, 1 Ir 2.65, 3 Ni 2.66-2.69
Ni  0.6702  0.1678  0.1684  8 Rh 2.62-2.68, 1 Ir 2.65, 3 Ni 2.66-2.69
Ni  0.8336  0.5839  0.8365  9 Rh 2.58-2.69, 3 Ni 2.62-2.68
Ir  0.0000  0.0000  0.5000  2 Ni 2.65, 10 Rh 2.66-2.69
Rh  0.0000  0.5000  0.5000  4 Ni 2.65-2.66, 2 Ir 2.66, 6 Rh 2.67-2.69
Rh  0.1654  0.9167  0.1624  5 Rh 2.61-2.70, 6 Ni 2.62-2.68, 1 Ir 2.67
Rh  0.3340  0.3343  0.8395  6 Ni 2.58-2.68, 5 Rh 2.61-2.70, 1 Ir 2.69
Rh  0.4988  0.2508  0.4973  3 Ni 2.63-2.69, 7 Rh 2.64-2.70, 2 Ir 2.67
Rh  0.5012  0.7492  0.5027  3 Ni 2.63-2.69, 7 Rh 2.64-2.70, 2 Ir 2.67
Rh  0.6660  0.6657  0.1605  6 Ni 2.58-2.68, 5 Rh 2.61-2.70, 1 Ir 2.69
Rh  0.8346  0.0833  0.8376  5 Rh 2.61-2.70, 6 Ni 2.62-2.68, 1 Ir 2.67

Formation enthalpy at 0 K ... 0.04 eV per atom
Crystal system ... triclinic
Symmetry ... No. 2


Entry 8:
Density functional theory data (PBE) for Ni3IrRh7 after structural relaxation.

Lattice parameters (Å, degrees): 6.2264 6.2264 4.7092 108.63 108.63 91.56
With the nearest neighbours (Å) after each atom.
Element x y z (fractional)
Ni  0.0000  0.0000  0.0000  6 Rh 2.42-2.52
Ni  0.2272  0.7728  0.5000  7 Rh 2.43-2.59
Ni  0.7728  0.2272  0.5000  7 Rh 2.43-2.59
Ir  0.5000  0.5000  0.0000  4 Rh 2.35-2.59
Rh  0.0699  0.5885  0.8283  4 Ni 2.52-2.81, 4 Rh 2.56-2.75, 1 Ir 2.67
Rh  0.1775  0.1775  0.5744  3 Ni 2.42-2.47, 1 Ir 2.59, 2 Rh 2.66
Rh  0.4115  0.9301  0.1717  4 Ni 2.52-2.81, 4 Rh 2.56-2.75, 1 Ir 2.67
Rh  0.5000  0.5000  0.5000  2 Ir 2.35, 2 Ni 2.43
Rh  0.5885  0.0699  0.8283  4 Ni 2.52-2.81, 4 Rh 2.56-2.75, 1 Ir 2.67
Rh  0.8225  0.8225  0.4256  3 Ni 2.42-2.47, 1 Ir 2.59, 2 Rh 2.66
Rh  0.9301  0.4115  0.1717  4 Ni 2.52-2.81, 4 Rh 2.56-2.75, 1 Ir 2.67

Formation enthalpy at 0 K ... 0.44 eV per atom
Crystal system ... monoclinic
Symmetry ... No. 12


no.,total DFT energy (no corrections) (eV per cell)
1,-58.341
2,-27.628
3,-91.316
4,-62.436
5,-52.926
6,-29.326
7,-82.945
8,-72.864